Record 1
DFT (SCAN) results for a PBEsol-optimized structure of Ba2Tb2Ti2Cu2O11.

E_form (uncorrected)   -2.92 eV/atom
E   -359.19 eV/f.u.
Crystal system   tetragonal
Symmetry   P4/mmm
M_tot   0.0 Bohr magnetons per cell

Cell lengths 3.8589, 3.8589, 15.5953 Å; angles 90.00, 90.00, 90.00 degrees
Last column: nearest neighbours and their distance in Å.
Element x y z (fractional)
Ba (0.0000, 0.0000, 0.2310)  8 O 2.75-2.91
Ba (0.0000, 0.0000, 0.7690)  8 O 2.75-2.91
Tb (0.0000, 0.0000, 0.0000)  8 O 2.40
Tb (0.0000, 0.0000, 0.5000)  12 O 2.58-2.73
Ti (0.5000, 0.5000, 0.3746)  6 O 1.86-1.96
Ti (0.5000, 0.5000, 0.6254)  6 O 1.86-1.96
Cu (0.5000, 0.5000, 0.1014)  4 O 1.94
Cu (0.5000, 0.5000, 0.8986)  4 O 1.94
O (0.0000, 0.5000, 0.0914)  2 Cu 1.94
O (0.0000, 0.5000, 0.3898)  2 Ti 1.94
O (0.0000, 0.5000, 0.6102)  2 Ti 1.94
O (0.0000, 0.5000, 0.9086)  2 Cu 1.94
O (0.5000, 0.0000, 0.0914)  2 Cu 1.94
O (0.5000, 0.0000, 0.3898)  2 Ti 1.94
O (0.5000, 0.0000, 0.6102)  2 Ti 1.94
O (0.5000, 0.0000, 0.9086)  2 Cu 1.94
O (0.5000, 0.5000, 0.2554)  1 Ti 1.86
O (0.5000, 0.5000, 0.5000)  2 Ti 1.96
O (0.5000, 0.5000, 0.7446)  1 Ti 1.86

---

Record 2
DFT (SCAN) results for a PBEsol-optimized structure of Na2SrVP2O9.

E_form (uncorrected)   -2.76 eV/atom
E   -166.41 eV/f.u.
Crystal system   orthorhombic
Symmetry   Pnma
M_tot   4.0 Bohr magnetons per cell

Cell lengths 10.6251, 6.6049, 10.2746 Å; angles 90.00, 90.00, 90.00 degrees
Last column: nearest neighbours and their distance in Å.
Element x y z (fractional)
Na (0.2167, 0.0004, 0.1360)  5 O 2.27-2.48
Na (0.2167, 0.4996, 0.1360)  5 O 2.27-2.48
Na (0.2833, 0.9996, 0.6360)  5 O 2.27-2.48
Na (0.2833, 0.5004, 0.6360)  5 O 2.27-2.48
Na (0.7167, 0.0004, 0.3640)  5 O 2.27-2.48
Na (0.7167, 0.4996, 0.3640)  5 O 2.27-2.48
Na (0.7833, 0.9996, 0.8640)  5 O 2.27-2.48
Na (0.7833, 0.5004, 0.8640)  5 O 2.27-2.48
Sr (0.0561, 0.2500, 0.4026)  5 O 2.39-2.62
Sr (0.4439, 0.7500, 0.9026)  5 O 2.39-2.62
Sr (0.5561, 0.2500, 0.0974)  5 O 2.39-2.62
Sr (0.9439, 0.7500, 0.5974)  5 O 2.39-2.62
V (0.0280, 0.2500, 0.8107)  1 O 1.62
V (0.4720, 0.7500, 0.3107)  1 O 1.62
V (0.5280, 0.2500, 0.6893)  1 O 1.62
V (0.9720, 0.7500, 0.1893)  1 O 1.62
P (0.0874, 0.7500, 0.8690)  4 O 1.54-1.58
P (0.1845, 0.7500, 0.4158)  4 O 1.53-1.55
P (0.3155, 0.2500, 0.9158)  4 O 1.53-1.55
P (0.4126, 0.2500, 0.3690)  4 O 1.54-1.58
P (0.5874, 0.7500, 0.6310)  4 O 1.54-1.58
P (0.6845, 0.7500, 0.0842)  4 O 1.53-1.55
P (0.8155, 0.2500, 0.5841)  4 O 1.53-1.55
P (0.9126, 0.2500, 0.1310)  4 O 1.54-1.58
O (0.0079, 0.5631, 0.8190)  1 P 1.58
O (0.0079, 0.9369, 0.8190)  1 P 1.58
O (0.0969, 0.7500, 0.0186)  1 P 1.54
O (0.1031, 0.2500, 0.6731)  1 V 1.62
O (0.1313, 0.5647, 0.4869)  1 P 1.53
O (0.1313, 0.9353, 0.4869)  1 P 1.53
O (0.1470, 0.7500, 0.2701)  1 P 1.55
O (0.1699, 0.2500, 0.9309)  1 P 1.55
O (0.2176, 0.7500, 0.8024)  1 P 1.54
O (0.2824, 0.2500, 0.3024)  1 P 1.54
O (0.3301, 0.7500, 0.4309)  1 P 1.55
O (0.3530, 0.2500, 0.7701)  1 P 1.55
O (0.3687, 0.0647, 0.9869)  1 P 1.53
O (0.3687, 0.4353, 0.9869)  1 P 1.53
O (0.3969, 0.7500, 0.1731)  1 V 1.62
O (0.4031, 0.2500, 0.5186)  1 P 1.54
O (0.4921, 0.0631, 0.3190)  1 P 1.58
O (0.4921, 0.4369, 0.3190)  1 P 1.58
O (0.5079, 0.5631, 0.6810)  1 P 1.58
O (0.5079, 0.9369, 0.6810)  1 P 1.58
O (0.5969, 0.7500, 0.4814)  1 P 1.54
O (0.6031, 0.2500, 0.8269)  1 V 1.62
O (0.6313, 0.5647, 0.0131)  1 P 1.53
O (0.6313, 0.9353, 0.0131)  1 P 1.53
O (0.6470, 0.7500, 0.2299)  1 P 1.55
O (0.6699, 0.2500, 0.5691)  1 P 1.55
O (0.7176, 0.7500, 0.6976)  1 P 1.54
O (0.7824, 0.2500, 0.1976)  1 P 1.54
O (0.8301, 0.7500, 0.0691)  1 P 1.55
O (0.8530, 0.2500, 0.7299)  1 P 1.55
O (0.8687, 0.0647, 0.5131)  1 P 1.53
O (0.8687, 0.4353, 0.5131)  1 P 1.53
O (0.8969, 0.7500, 0.3269)  1 V 1.62
O (0.9031, 0.2500, 0.9814)  1 P 1.54
O (0.9921, 0.0631, 0.1810)  1 P 1.58
O (0.9921, 0.4369, 0.1810)  1 P 1.58

---

Record 3
DFT (SCAN) results for a PBEsol-optimized structure of SrSiTe2.

E_form (uncorrected)   -0.64 eV/atom
E   -109.36 eV/f.u.
Crystal system   trigonal
Symmetry   R-3m
M_tot   0.0 Bohr magnetons per cell

Cell lengths 4.3272, 4.3272, 22.1275 Å; angles 90.00, 90.00, 120.00 degrees
Last column: nearest neighbours and their distance in Å.
Element x y z (fractional)
Sr (0.0000, 0.0000, 0.0000)  6 Te 3.27
Sr (0.3333, 0.6667, 0.6667)  6 Te 3.27
Sr (0.6667, 0.3333, 0.3333)  6 Te 3.27
Si (0.0000, 0.0000, 0.5000)  6 Te 2.95
Si (0.3333, 0.6667, 0.1667)  6 Te 2.95
Si (0.6667, 0.3333, 0.8333)  6 Te 2.95
Te (0.0000, 0.0000, 0.2376)  3 Si 2.95, 3 Sr 3.27
Te (0.0000, 0.0000, 0.7624)  3 Si 2.95, 3 Sr 3.27
Te (0.3333, 0.6667, 0.4290)  3 Si 2.95, 3 Sr 3.27
Te (0.3333, 0.6667, 0.9043)  3 Si 2.95, 3 Sr 3.27
Te (0.6667, 0.3333, 0.0957)  3 Si 2.95, 3 Sr 3.27
Te (0.6667, 0.3333, 0.5710)  3 Si 2.95, 3 Sr 3.27

---

Record 4
DFT (SCAN) results for a PBEsol-optimized structure of MgCdHg2.

DFT formation energy   -0.142 eV/atom
E   -172.29 eV/f.u.
Crystal system   orthorhombic
Symmetry   Pmm2
M_tot   0.0 Bohr magnetons per cell

Cell lengths 3.5307, 4.1982, 5.8086 Å; angles 90.00, 90.00, 90.00 degrees
Last column: nearest neighbours and their distance in Å.
Element x y z (fractional)
Mg (0.0000, 0.0000, 0.0000)  6 Hg 2.90-3.02, 4 Cd 3.18
Cd (0.5000, 0.5000, 0.2784)  6 Hg 2.87-3.03, 4 Mg 3.18
Hg (0.0000, 0.0000, 0.5006)  2 Mg 2.90-2.91, 4 Cd 3.03, 4 Hg 3.20
Hg (0.5000, 0.5000, 0.7839)  2 Cd 2.87-2.94, 4 Mg 3.02, 4 Hg 3.20

---

Record 5
DFT (SCAN) results for a PBEsol-optimized structure of K2YMo.

DFT formation energy   1.362 eV/atom
E   -73.94 eV/f.u.
Crystal system   tetragonal
Symmetry   P4/mmm
M_tot   0.3 Bohr magnetons per cell

Cell lengths 2.9798, 2.9798, 13.0285 Å; angles 90.00, 90.00, 90.00 degrees
Last column: nearest neighbours and their distance in Å.
Element x y z (fractional)
K (0.0000, 0.0000, 0.2170)  4 K 2.98
K (0.0000, 0.0000, 0.7830)  4 K 2.98
Y (0.5000, 0.5000, 0.5000)  4 Y 2.98
Mo (0.5000, 0.5000, 0.0000)  4 Mo 2.98

---

Record 6
DFT (SCAN) results for a PBEsol-optimized structure of Ag2IBr.

E_form (uncorrected)   -0.04 eV/atom
E   -119.08 eV/f.u.
Crystal system   cubic
Symmetry   Fm-3m
M_tot   0.0 Bohr magnetons per cell

Cell lengths 7.2137, 7.2137, 7.2137 Å; angles 90.00, 90.00, 90.00 degrees
Last column: nearest neighbours and their distance in Å.
Element x y z (fractional)
Ag (0.2500, 0.2500, 0.2500)  4 Br 3.12, 4 I 3.12
Ag (0.2500, 0.2500, 0.7500)  4 Br 3.12, 4 I 3.12
Ag (0.2500, 0.7500, 0.2500)  4 Br 3.12, 4 I 3.12
Ag (0.2500, 0.7500, 0.7500)  4 Br 3.12, 4 I 3.12
Ag (0.7500, 0.2500, 0.2500)  4 Br 3.12, 4 I 3.12
Ag (0.7500, 0.2500, 0.7500)  4 Br 3.12, 4 I 3.12
Ag (0.7500, 0.7500, 0.2500)  4 Br 3.12, 4 I 3.12
Ag (0.7500, 0.7500, 0.7500)  4 Br 3.12, 4 I 3.12
I (0.0000, 0.0000, 0.0000)  8 Ag 3.12
I (0.0000, 0.5000, 0.5000)  8 Ag 3.12
I (0.5000, 0.0000, 0.5000)  8 Ag 3.12
I (0.5000, 0.5000, 0.0000)  8 Ag 3.12
Br (0.0000, 0.0000, 0.5000)  8 Ag 3.12
Br (0.0000, 0.5000, 0.0000)  8 Ag 3.12
Br (0.5000, 0.0000, 0.0000)  8 Ag 3.12
Br (0.5000, 0.5000, 0.5000)  8 Ag 3.12

---

Record 7
DFT (SCAN) results for a PBEsol-optimized structure of CdCu2Au.

DFT formation energy   -0.053 eV/atom
E   -130.18 eV/f.u.
Crystal system   tetragonal
Symmetry   I-4m2
M_tot   0.0 Bohr magnetons per cell

Cell lengths 3.8130, 3.8130, 8.1197 Å; angles 90.00, 90.00, 90.00 degrees
Last column: nearest neighbours and their distance in Å.
Element x y z (fractional)
Cd (0.0000, 0.0000, 0.0000)  8 Cu 2.70-2.78, 4 Au 2.78
Cd (0.5000, 0.5000, 0.5000)  8 Cu 2.70-2.78, 4 Au 2.78
Cu (0.0000, 0.0000, 0.5000)  4 Cd 2.70, 4 Cu 2.78, 4 Au 2.78
Cu (0.0000, 0.5000, 0.2500)  4 Au 2.70, 4 Cd 2.78, 4 Cu 2.78
Cu (0.5000, 0.0000, 0.7500)  4 Au 2.70, 4 Cd 2.78, 4 Cu 2.78
Cu (0.5000, 0.5000, 0.0000)  4 Cd 2.70, 4 Cu 2.78, 4 Au 2.78
Au (0.0000, 0.5000, 0.7500)  8 Cu 2.70-2.78, 4 Cd 2.78
Au (0.5000, 0.0000, 0.2500)  8 Cu 2.70-2.78, 4 Cd 2.78

---

Record 8
DFT (SCAN) results for a PBEsol-optimized structure of IrRh2.

DFT formation energy   -0.033 eV/atom
E   -138.74 eV/f.u.
Crystal system   orthorhombic
Symmetry   Immm
M_tot   0.0 Bohr magnetons per cell

Cell lengths 2.6852, 3.7934, 8.0340 Å; angles 90.00, 90.00, 90.00 degrees
Last column: nearest neighbours and their distance in Å.
Element x y z (fractional)
Ir (0.0000, 0.0000, 0.0000)  10 Rh 2.68-2.69, 2 Ir 2.69
Ir (0.5000, 0.5000, 0.5000)  10 Rh 2.68-2.69, 2 Ir 2.69
Rh (0.0000, 0.0000, 0.3348)  7 Rh 2.65-2.69, 5 Ir 2.68-2.69
Rh (0.0000, 0.0000, 0.6652)  7 Rh 2.65-2.69, 5 Ir 2.68-2.69
Rh (0.5000, 0.5000, 0.1652)  7 Rh 2.65-2.69, 5 Ir 2.68-2.69
Rh (0.5000, 0.5000, 0.8348)  7 Rh 2.65-2.69, 5 Ir 2.68-2.69